# 1
# CsHgO2, optimized geometry, DFT PBE-GGA
# magnetization: 0.102 μB per atom
# E_form (uncorrected): -0.48 eV/atom
data_CsHgO2
_chemical_formula_sum 'Cs4 Hg4 O8'
_cell_length_a 6.840
_cell_length_b 6.840
_cell_length_c 7.540
_cell_angle_alpha 90.00
_cell_angle_beta 90.00
_cell_angle_gamma 90.00
_space_group_name_H-M_alt 'I -4 2 d'
_space_group_IT_number 122
_space_group_name_Hall 'I -4 2bw'
loop_
_atom_site_label
_atom_site_type_symbol
_atom_site_fract_x
_atom_site_fract_y
_atom_site_fract_z
Cs1 Cs 0.000 0.000 0.000
Hg1 Hg 0.000 0.000 0.500
O1 O 0.148 0.250 0.625



# 2
# MgGa2AgHg, optimized geometry, DFT PBE-GGA
# magnetization: 0.000 μB per atom
# ΔE_f: 0.18 eV per atom
data_MgGa2AgHg
_chemical_formula_sum 'Mg1 Ga2 Ag1 Hg1'
_cell_length_a 4.949
_cell_length_b 4.949
_cell_length_c 5.232
_cell_angle_alpha 90.00
_cell_angle_beta 90.00
_cell_angle_gamma 90.00
_space_group_name_H-M_alt 'P 4/m m m'
_space_group_IT_number 123
_space_group_name_Hall '-P 4 2'
loop_
_atom_site_label
_atom_site_type_symbol
_atom_site_fract_x
_atom_site_fract_y
_atom_site_fract_z
Mg1 Mg 0.000 0.000 0.000
Ga1 Ga 0.000 0.500 0.500
Ag1 Ag 0.000 0.000 0.500
Hg1 Hg 0.500 0.500 0.000



# 3
# Pr12Sm2Ho5, optimized geometry, DFT PBE-GGA
# magnetization: 0.000 μB per atom
# ΔE_f: 0.10 eV per atom
data_Pr12Sm2Ho5
_chemical_formula_sum 'Pr24 Sm4 Ho10'
_cell_length_a 18.161
_cell_length_b 11.824
_cell_length_c 6.284
_cell_angle_alpha 90.00
_cell_angle_beta 102.44
_cell_angle_gamma 90.00
_space_group_name_H-M_alt 'C 1 2/m 1'
_space_group_IT_number 12
loop_
_space_group_symop_operation_xyz
'x,y,z'
'-x,-y,-z'
'-x,y,-z'
'x,-y,z'
'x+1/2,y+1/2,z'
'-x+1/2,-y+1/2,-z'
'-x+1/2,y+1/2,-z'
'x+1/2,-y+1/2,z'
loop_
_atom_site_label
_atom_site_type_symbol
_atom_site_fract_x
_atom_site_fract_y
_atom_site_fract_z
Pr1 Pr 0.057 0.000 0.273
Pr2 Pr 0.104 0.251 0.616
Pr3 Pr 0.121 0.500 0.000
Pr4 Pr 0.198 0.241 0.199
Sm1 Sm 0.000 0.271 0.000
Ho1 Ho 0.000 0.500 0.500
Ho2 Ho 0.178 0.000 0.858
Ho3 Ho 0.215 0.500 0.551



# 4
# BaNb, optimized geometry, DFT PBE-GGA
# magnetization: 0.000 μB per atom
# ΔE_f: 1.11 eV per atom
data_BaNb
_chemical_formula_sum 'Ba8 Nb8'
_cell_length_a 14.505
_cell_length_b 14.505
_cell_length_c 3.342
_cell_angle_alpha 90.00
_cell_angle_beta 90.00
_cell_angle_gamma 90.00
_space_group_name_H-M_alt 'I 4/m'
_space_group_IT_number 87
_space_group_name_Hall '-I 4'
loop_
_atom_site_label
_atom_site_type_symbol
_atom_site_fract_x
_atom_site_fract_y
_atom_site_fract_z
Ba1 Ba 0.036 0.281 0.000
Nb1 Nb 0.183 0.751 0.000



# 5
# NdHoPt2, optimized geometry, DFT PBE-GGA
# magnetization: 0.000 μB per atom
# ΔE_f: -1.04 eV per atom
data_NdHoPt2
_chemical_formula_sum 'Nd3 Ho3 Pt6'
_cell_length_a 4.0719
_cell_length_b 4.0719
_cell_length_c 20.9855
_cell_angle_alpha 90.00
_cell_angle_beta 90.00
_cell_angle_gamma 120.00
_space_group_name_H-M_alt 'R 3 m'
_space_group_IT_number 160
_space_group_name_Hall 'R 3 -2"'
loop_
_atom_site_label
_atom_site_type_symbol
_atom_site_fract_x
_atom_site_fract_y
_atom_site_fract_z
Nd1 Nd 0.0000 0.0000 0.0000
Ho1 Ho 0.0000 0.0000 0.8279
Pt1 Pt 0.0000 0.0000 0.2438
Pt2 Pt 0.0000 0.0000 0.4173



# 6
# CaCd2, optimized geometry, DFT PBE-GGA
# magnetization: 0.000 μB per atom
# ΔE_f: -0.27 eV per atom
data_CaCd2
_chemical_formula_sum 'Ca2 Cd4'
_cell_length_a 3.725
_cell_length_b 3.725
_cell_length_c 11.296
_cell_angle_alpha 90.00
_cell_angle_beta 90.00
_cell_angle_gamma 90.00
_space_group_name_H-M_alt 'I 4/m m m'
_space_group_IT_number 139
_space_group_name_Hall '-I 4 2'
loop_
_atom_site_label
_atom_site_type_symbol
_atom_site_fract_x
_atom_site_fract_y
_atom_site_fract_z
Ca1 Ca 0.000 0.000 0.000
Cd1 Cd 0.000 0.000 0.320